# 1
# CaDyB2O6 | the Alexandria database | GGA-PBE | relaxed
data_CaDyB2O6
_cell_length_a 6.416
_cell_length_b 6.416
_cell_length_c 6.850
_cell_angle_alpha 100.82
_cell_angle_beta 100.82
_cell_angle_gamma 105.38
_space_group_name_H-M_alt 'P 1'
_space_group_IT_number 1
_space_group_name_Hall 'P 1'
loop_
_atom_site_label
_atom_site_type_symbol
_atom_site_fract_x
_atom_site_fract_y
_atom_site_fract_z
B1 B 0.579 0.906 0.243
B2 B 0.094 0.421 0.257
B3 B 0.906 0.579 0.743
B4 B 0.421 0.094 0.757
O1 O 0.468 0.062 0.247
O2 O 0.532 0.938 0.753
O3 O 0.296 0.506 0.403
O4 O 0.704 0.494 0.597
O5 O 0.506 0.296 0.903
O6 O 0.772 0.938 0.386
O7 O 0.938 0.532 0.253
O8 O 0.494 0.704 0.097
O9 O 0.062 0.228 0.114
O10 O 0.938 0.772 0.886
O11 O 0.228 0.062 0.614
O12 O 0.062 0.468 0.747
Ca1 Ca 0.917 0.083 0.750
Ca2 Ca 0.083 0.917 0.250
Dy1 Dy 0.573 0.427 0.250
Dy2 Dy 0.427 0.573 0.750
# - DOS(E_F) (states/eV/cell) = 7.8
# - E_form (uncorrected) (kJ/mol of formula units) = -2646.1
# - theoretical density (g cm⁻³) = 4.1
# - VASP energy (eV per atom) = -7.713

# 2
# Ti2ZnNiH | the Alexandria database | GGA-PBE | relaxed
data_Ti2ZnNiH
_cell_length_a 3.877
_cell_length_b 3.877
_cell_length_c 3.973
_cell_angle_alpha 90.00
_cell_angle_beta 90.00
_cell_angle_gamma 90.00
_space_group_name_H-M_alt 'P 1'
_space_group_IT_number 1
_space_group_name_Hall 'P 1'
loop_
_atom_site_label
_atom_site_type_symbol
_atom_site_fract_x
_atom_site_fract_y
_atom_site_fract_z
Ti1 Ti 0.000 0.500 0.000
Ti2 Ti 0.500 0.000 0.000
Ni1 Ni 0.500 0.500 0.500
Zn1 Zn 0.000 0.000 0.500
H1 H 0.000 0.000 0.000
# - DOS(E_F) (states/eV/cell) = 4.7
# - theoretical density (g cm⁻³) = 6.1
# - energy relative to the lowest polymorph listed for this composition (meV/atom) = 102
# - VASP energy (eV per atom) = -5.438

# 3
# ZnCuIr2 | the Alexandria database | GGA-PBE | relaxed
data_ZnCuIr2
_cell_length_a 4.553
_cell_length_b 4.553
_cell_length_c 2.764
_cell_angle_alpha 90.00
_cell_angle_beta 90.00
_cell_angle_gamma 105.49
_space_group_name_H-M_alt 'P 1'
_space_group_IT_number 1
_space_group_name_Hall 'P 1'
loop_
_atom_site_label
_atom_site_type_symbol
_atom_site_fract_x
_atom_site_fract_y
_atom_site_fract_z
Ir1 Ir 0.500 0.500 0.000
Ir2 Ir 0.000 0.000 0.000
Cu1 Cu 0.000 0.500 0.500
Zn1 Zn 0.500 0.000 0.500
# - DOS(E_F) (states/eV/cell) = 4.4
# - ΔH_f (0 K) (eV/atom) = 0.0967
# - theoretical density (g cm⁻³) = 15.4
# - VASP energy (eV per atom) = -5.676

# 4
# AcPm4Te5 | the Alexandria database | GGA-PBE | relaxed
data_AcPm4Te5
_cell_length_a 4.507
_cell_length_b 7.844
_cell_length_c 10.100
_cell_angle_alpha 75.25
_cell_angle_beta 77.11
_cell_angle_gamma 73.30
_space_group_name_H-M_alt 'P 1'
_space_group_IT_number 1
_space_group_name_Hall 'P 1'
loop_
_atom_site_label
_atom_site_type_symbol
_atom_site_fract_x
_atom_site_fract_y
_atom_site_fract_z
Pm1 Pm 0.201 0.388 0.209
Pm2 Pm 0.405 0.793 0.398
Pm3 Pm 0.595 0.207 0.602
Pm4 Pm 0.799 0.612 0.791
Te1 Te 0.000 0.500 0.500
Te2 Te 0.797 0.094 0.312
Te3 Te 0.391 0.321 0.897
Te4 Te 0.609 0.679 0.103
Te5 Te 0.203 0.906 0.688
Ac1 Ac 0.000 0.000 0.000
# - DOS(E_F) (states/eV/cell) = 5.4
# - E_form (uncorrected) (kJ/mol of formula units) = -1369.6
# - theoretical density (g cm⁻³) = 7.4
# - energy relative to the lowest polymorph listed for this composition (meV/atom) = 0
# - VASP energy (eV per atom) = -5.301

Calculated spin magnetization in order - 1.0 0.0 0.0 0.0 μB/f.u.